A plane-wave DFT calculation with GGA-PBE was carried out for a geometry-optimized Te2CBr structure.

## Properties
E = -3.435 eV per atom
energy relative to the elements, uncorrected = 0.860 eV per atom
excess energy over the best structure of this formula in the dataset = 0.0587 eV per atom
theoretical density = 5.6 Mg/m³
total moment = 0.000 μB per atom

a = 7.0574 Å, b = 7.0574 Å, c = 6.4673 Å
α = 56.93°, β = 56.93°, γ = 90.00°
Closest atoms and distances in Å follow each position.
Sites, in units of the cell vectors:
C1 0.5000 0.5000 0.0000  4 Te 2.27
C2 0.2500 0.7500 0.5000  4 Te 2.27
Te1 0.5150 0.1250 0.2500  2 C 2.27
Te2 0.2350 0.6250 0.2500  2 C 2.27
Te3 0.3750 0.4850 0.7500  2 C 2.27
Te4 0.8750 0.7650 0.7500  2 C 2.27
Br1 0.0000 0.0000 0.0000  4 Te 3.26
Br2 0.7500 0.2500 0.5000  4 Te 3.26

=====

A plane-wave DFT calculation with GGA-PBE was carried out for a geometry-optimized Te2CBr structure.

## Properties
E = -2.557 eV per atom
energy relative to the elements, uncorrected = 1.738 eV per atom
excess energy over the best structure of this formula in the dataset = 0.9364 eV per atom
theoretical density = 6.6 Mg/m³
total moment = 0.000 μB per atom

a = 4.9884 Å, b = 4.9884 Å, c = 4.9884 Å
α = 60.00°, β = 60.00°, γ = 60.00°
Closest atoms and distances in Å follow each position.
Sites, in units of the cell vectors:
C1 0.0000 0.0000 0.0000  8 Te 3.05
Te1 0.2500 0.2500 0.2500  4 Br 3.05, 4 C 3.05
Te2 0.7500 0.7500 0.7500  4 Br 3.05, 4 C 3.05
Br1 0.5000 0.5000 0.5000  8 Te 3.05

=====

A plane-wave DFT calculation with GGA-PBE was carried out for a geometry-optimized Th2CBr4 structure.

## Properties
E = -5.592 eV per atom
energy relative to the elements, uncorrected = -1.198 eV per atom
theoretical density = 4.5 Mg/m³
total moment = 0.000 μB per atom

a = 3.6625 Å, b = 12.6849 Å, c = 12.6849 Å
α = 90.00°, β = 90.00°, γ = 90.00°
Closest atoms and distances in Å follow each position.
Sites, in units of the cell vectors:
C1 0.5000 0.0000 0.0000  4 Th 2.52
C2 0.0000 0.5000 0.5000  4 Th 2.52
Br1 0.0000 0.2240 0.4423  2 Th 2.97
Br2 0.0000 0.7760 0.5577  2 Th 2.97
Br3 0.5000 0.0577 0.7240  2 Th 2.97
Br4 0.5000 0.9423 0.2760  2 Th 2.97
Br5 0.5000 0.2760 0.9423  2 Th 2.97
Br6 0.5000 0.7240 0.0577  2 Th 2.97
Br7 0.0000 0.4423 0.2240  2 Th 2.97
Br8 0.0000 0.5577 0.7760  2 Th 2.97
Th1 0.0000 0.0962 0.9038  2 C 2.52
Th2 0.0000 0.9038 0.0962  2 C 2.52
Th3 0.5000 0.5962 0.5962  2 C 2.52
Th4 0.5000 0.4038 0.4038  2 C 2.52

=====

A plane-wave DFT calculation with GGA-PBE was carried out for a geometry-optimized Th6CBr12 structure.

## Properties
E = -5.036 eV per atom
energy relative to the elements, uncorrected = -1.150 eV per atom
theoretical density = 7.0 Mg/m³
total moment = 0.000 μB per atom

a = 8.5099 Å, b = 8.5099 Å, c = 8.5099 Å
α = 74.37°, β = 74.37°, γ = 74.37°
Closest atoms and distances in Å follow each position.
Sites, in units of the cell vectors:
Th1 0.2065 0.8122 0.2065  1 C 2.71, 3 Br 2.95-2.96
Th2 0.1878 0.7935 0.7935  1 C 2.71, 3 Br 2.95-2.96
Th3 0.7935 0.7935 0.1878  1 C 2.71, 3 Br 2.95-2.96
Th4 0.7935 0.1878 0.7935  1 C 2.71, 3 Br 2.95-2.96
Th5 0.8122 0.2065 0.2065  1 C 2.71, 3 Br 2.95-2.96
Th6 0.2065 0.2065 0.8122  1 C 2.71, 3 Br 2.95-2.96
C1 0.0000 0.0000 0.0000  6 Th 2.71
Br1 0.5485 0.1800 0.5485  3 Th 3.16-3.35, 4 Br 3.34-3.49
Br2 0.1800 0.5485 0.5485  3 Th 3.16-3.35, 4 Br 3.34-3.49
Br3 0.5485 0.5485 0.1800  3 Th 3.16-3.35, 4 Br 3.34-3.49
Br4 0.4515 0.8200 0.4515  3 Th 3.16-3.35, 4 Br 3.34-3.49
Br5 0.8200 0.4515 0.4515  3 Th 3.16-3.35, 4 Br 3.34-3.49
Br6 0.4515 0.4515 0.8200  3 Th 3.16-3.35, 4 Br 3.34-3.49
Br7 0.5500 0.1092 0.1092  3 Th 2.95-2.96
Br8 0.8908 0.4500 0.8908  3 Th 2.95-2.96
Br9 0.8908 0.8908 0.4500  3 Th 2.95-2.96
Br10 0.4500 0.8908 0.8908  3 Th 2.95-2.96
Br11 0.1092 0.5500 0.1092  3 Th 2.95-2.96
Br12 0.1092 0.1092 0.5500  3 Th 2.95-2.96

=====

A plane-wave DFT calculation with GGA-PBE was carried out for a geometry-optimized Th3CBr3 structure.

## Properties
E = -6.322 eV per atom
energy relative to the elements, uncorrected = -1.107 eV per atom
theoretical density = 7.3 Mg/m³
total moment = 0.000 μB per atom

a = 6.7127 Å, b = 6.7127 Å, c = 11.6963 Å
α = 73.32°, β = 73.32°, γ = 60.00°
Closest atoms and distances in Å follow each position.
Sites, in units of the cell vectors:
Th1 0.9577 0.3060 0.1270  2 C 2.60
Th2 0.6093 0.9577 0.1270  2 C 2.60
Th3 0.3060 0.6093 0.1270  2 C 2.60
Th4 0.6940 0.3907 0.8730  2 C 2.60
Th5 0.3907 0.0423 0.8730  2 C 2.60
Th6 0.0423 0.6940 0.8730  2 C 2.60
C1 0.6667 0.6667 0.0000  6 Th 2.60
C2 0.3333 0.3333 0.0000  6 Th 2.60
Br1 0.2245 0.8940 0.3181  3 Th 3.02-3.11
Br2 0.5633 0.2245 0.3181  3 Th 3.02-3.11
Br3 0.8940 0.5633 0.3181  3 Th 3.02-3.11
Br4 0.1060 0.4367 0.6819  3 Th 3.02-3.11
Br5 0.4367 0.7755 0.6819  3 Th 3.02-3.11
Br6 0.7755 0.1060 0.6819  3 Th 3.02-3.11

=====

A plane-wave DFT calculation with GGA-PBE was carried out for a geometry-optimized Th2CBr structure.

## Properties
E = -7.205 eV per atom
energy relative to the elements, uncorrected = -0.771 eV per atom
theoretical density = 9.9 Mg/m³
total moment = 0.076 μB per atom

a = 3.6871 Å, b = 3.6871 Å, c = 8.2148 Å
α = 77.03°, β = 77.03°, γ = 60.00°
Closest atoms and distances in Å follow each position.
Sites, in units of the cell vectors:
Th1 0.0621 0.0621 0.8138  3 C 2.61
Th2 0.2731 0.2731 0.1806  3 C 2.55
C1 0.6655 0.6655 0.0034  6 Th 2.55-2.61
Br1 0.4992 0.4992 0.5023  6 Th 3.26-3.32

=====

A plane-wave DFT calculation with GGA-PBE was carried out for a geometry-optimized Th2CBr2 structure.

## Properties
E = -6.682 eV per atom
energy relative to the elements, uncorrected = -1.200 eV per atom
theoretical density = 6.4 Mg/m³
total moment = 0.000 μB per atom

a = 3.8786 Å, b = 3.8786 Å, c = 12.9153 Å
α = 81.36°, β = 81.36°, γ = 60.00°
Closest atoms and distances in Å follow each position.
Sites, in units of the cell vectors:
Th1 0.6306 0.6306 0.1083  3 C 2.63
Th2 0.3694 0.3694 0.8917  3 C 2.63
C1 0.0000 0.0000 0.0000  6 Th 2.63
Br1 0.2420 0.2420 0.2741  3 Th 3.08
Br2 0.7580 0.7580 0.7259  3 Th 3.08

=====

A plane-wave DFT calculation with GGA-PBE was carried out for a geometry-optimized Th3C2Br structure.

## Properties
E = -7.720 eV per atom
energy relative to the elements, uncorrected = -0.657 eV per atom
theoretical density = 9.9 Mg/m³
total moment = 0.000 μB per atom

a = 3.7866 Å, b = 3.7866 Å, c = 21.5793 Å
α = 90.00°, β = 90.00°, γ = 120.00°
Closest atoms and distances in Å follow each position.
Sites, in units of the cell vectors:
Th1 0.0000 0.0000 0.0000  6 C 2.75
Th2 0.6667 0.3333 0.8660  3 C 2.50
Th3 0.6667 0.3333 0.6340  3 C 2.50
Th4 0.0000 0.0000 0.5000  6 C 2.75
Th5 0.3333 0.6667 0.3660  3 C 2.50
Th6 0.3333 0.6667 0.1340  3 C 2.50
C1 0.6667 0.3333 0.0776  6 Th 2.50-2.75
C2 0.3333 0.6667 0.9224  6 Th 2.50-2.75
C3 0.3333 0.6667 0.5776  6 Th 2.50-2.75
C4 0.6667 0.3333 0.4224  6 Th 2.50-2.75
Br1 0.0000 0.0000 0.7500  6 Th 3.32
Br2 0.0000 0.0000 0.2500  6 Th 3.32